The following is a PBE-GGA calculation of a relaxed ZrCdTe crystal, from Alexandria.

a = 6.9396 Å, b = 6.9396 Å, c = 6.9396 Å
α = 90.00°, β = 90.00°, γ = 90.00°
Closest atoms and distances in Å follow each position.
Atoms (fractional coordinates):
Zr: 0.0000 0.0000 0.0000  4 Te 3.00
Zr: 0.0000 0.5000 0.5000  4 Te 3.00
Zr: 0.5000 0.0000 0.5000  4 Te 3.00
Zr: 0.5000 0.5000 0.0000  4 Te 3.00
Cd: 0.0000 0.0000 0.5000  4 Te 3.00
Cd: 0.0000 0.5000 0.0000  4 Te 3.00
Cd: 0.5000 0.0000 0.0000  4 Te 3.00
Cd: 0.5000 0.5000 0.5000  4 Te 3.00
Te: 0.2500 0.2500 0.2500  4 Cd 3.00, 4 Zr 3.00
Te: 0.2500 0.7500 0.7500  4 Cd 3.00, 4 Zr 3.00
Te: 0.7500 0.2500 0.7500  4 Cd 3.00, 4 Zr 3.00
Te: 0.7500 0.7500 0.2500  4 Cd 3.00, 4 Zr 3.00

Calculated values
As for the space group: F-43m, No. 216. Its formation energy (no corrections) is 0.1586 eV/atom. The calculation puts the energy above the most stable polymorph in this dataset at 0.5737 eV/atom.